No. 1
ScCrGe2: relaxed, PBEsol.

Structure (extended XYZ):
```
48
Lattice="-2.5439 6.0161 -4.7951 -4.3529 -6.1046 -5.3497 -8.1411 0.9622 5.5263" Properties=species:S:1:pos:R:3 pbc="T T T"
Cr -8.6399 -0.3447 0.7203
Ge -6.5928 -3.7621 -3.4383
Ge -3.3142 -0.8400 -1.5116
Ge -4.8267 -0.7384 -5.2121
Ge -8.6585 -4.7920 -1.4187
Ge -3.4686 -3.7033 -2.8061
Ge -8.4452 4.6357 -1.1802
Ge -8.3133 0.3068 -6.6814
Ge -9.9465 -1.7288 -3.7384
Ge -9.0254 -1.4391 2.9827
Ge -5.0915 2.6024 -0.8801
Sc -7.5039 -1.7795 -5.0979
Ge -10.2112 1.6121 0.5936
Sc -8.0193 -2.0233 -1.7848
Ge -1.1941 -0.1075 0.4986
Cr -4.3348 4.2841 -2.5871
Sc -5.7755 -0.0429 -0.4905
Cr -10.7031 -3.4104 -2.0314
Cr -3.0657 1.2828 -0.1950
Sc -4.6484 -3.4857 -5.4078
Ge -5.0348 3.2288 -4.7546
Cr -5.9674 4.9670 -0.8123
Cr -6.3981 1.2184 -5.3388
Ge -7.1141 -2.2201 0.9888
Ge -8.3290 0.8139 -1.4065
Cr -2.8235 -1.5221 -3.8945
Sc -9.1463 1.4194 3.1325
Ge -5.3799 -2.9223 -0.8123
Sc -9.2624 0.9166 -4.1280
Ge -11.2999 -5.0349 -0.3221
Cr -11.9722 -0.4092 -4.4236
Sc -7.5340 2.6531 0.4794
Cr -4.7176 2.0113 1.5435
Ge -6.7090 0.0598 -3.2120
Sc -7.0186 2.8970 -2.8337
Sc -4.1997 1.1396 -3.1885
Cr -9.9089 2.6565 -1.6719
Sc -5.8916 -0.5458 -7.7511
Sc -10.3895 4.3593 0.7893
Ge -3.8355 -0.3504 1.5952
Ge -10.0032 -2.3552 0.1361
Ge -11.7237 1.7136 -3.1069
Cr -5.1290 -1.7829 -2.9467
Ge -2.4520 2.8662 -1.9495
Ge -6.7246 0.5669 2.0628
Cr -4.0734 1.4336 -6.2503
Ge -12.5860 -1.9925 -2.6690
Sc -10.8382 -0.2659 -1.4300
```

Offset from the most stable computed form = 0.0000 eV/atom
Formation energy from the elements = -0.54 eV per atom
Space group = No. 55

=====

No. 2
Sc7Cr5Ge9: relaxed, PBEsol.

Structure (extended XYZ):
```
42
Lattice="-1.9494 6.4704 7.0616 -8.6320 1.9530 -4.1480 2.3320 -9.2394 2.3333" Properties=species:S:1:pos:R:3 pbc="T T T"
Cr -0.9713 -0.2924 7.6345
Sc -3.3820 2.6923 0.9312
Ge -3.8328 -1.5669 2.9164
Cr -6.2800 -0.9850 2.5714
Sc -3.0355 5.7362 5.2396
Sc -8.6537 3.1657 0.6720
Ge -4.5431 4.7171 2.7108
Ge -0.7220 -1.2268 0.9248
Cr -9.2369 7.3532 2.5434
Ge -8.1536 0.5019 1.7852
Sc -6.1311 4.8710 4.9033
Sc -2.1184 -5.6869 0.3435
Ge -9.5376 5.9771 0.4833
Ge -5.8963 2.0277 5.5714
Sc -4.8257 -3.5317 1.0890
Cr -1.9695 0.1691 2.6754
Sc -1.8998 -3.2283 2.4336
Cr -6.4212 -3.9764 -1.5070
Ge -4.4167 0.7509 2.3304
Ge 0.1314 -4.7226 1.8249
Sc -5.9463 1.0105 -0.0735
Sc -2.3032 -1.8264 5.3203
Cr -1.3445 1.0703 0.3702
Cr -3.2023 -0.6643 0.6074
Ge -8.3809 3.9067 3.4220
Ge -6.0383 3.7063 0.2027
Ge -7.5275 0.4109 4.3220
Cr -7.2781 -0.5236 -2.3877
Sc -6.3496 2.4123 2.8132
Sc -7.5459 2.6872 -2.3261
Ge -2.3531 -2.8437 -0.3246
Ge -3.2386 0.9627 -1.2511
Ge -2.4540 0.7214 5.4258
Ge -1.0439 2.4463 2.4303
Cr -1.8283 3.1605 6.7539
Ge -5.7954 -1.5373 -0.1790
Ge -0.0959 -1.3178 3.4617
Cr -5.0471 -0.1516 4.6394
Sc -7.1994 5.7311 1.9823
Ge -7.3428 7.4607 4.1647
Sc -3.4237 2.7157 4.1579
Sc 0.4042 -3.9816 4.5749
```

Formation energy from the elements = -0.61 eV per atom
Space group = No. 69

=====

No. 3
CrGeSe3: relaxed, PBEsol.

Structure (extended XYZ):
```
5
Lattice="-0.8227 3.4607 -3.3524 -4.7694 -1.0673 0.0686 -0.6835 3.2827 3.5565" Properties=species:S:1:pos:R:3 pbc="T T T"
Se -0.4113 1.7303 -1.6762
Se -2.3847 -0.5337 0.0343
Se -0.3417 1.6413 1.7782
Cr -3.1378 2.8380 0.1363
Ge 0.0000 0.0000 0.0000
```

Space group = No. 221
Formation energy (no corrections) = 3.10 eV/f.u.